The following is a GGA-PBE calculation of ZrSc2W after structural relaxation, from Alexandria.

a b c (Å): 3.0620 3.0620 30.7559
angles (deg): 90.00 90.00 120.00
Space group R-3m (No. 166, hexagonal axes)
Asymmetric unit:
Zr (0.0000, 0.0000, 0.0000) (multiplicity 3)
Sc (0.0000, 0.0000, 0.2434) (multiplicity 6)
W (0.0000, 0.0000, 0.5000) (multiplicity 3)

Calculated values
energy relative to the lowest polymorph listed for this composition = 100 meV per atom

The following is a GGA-PBE calculation of ZrScW2 after structural relaxation, from Alexandria.

a b c (Å): 4.738 4.738 3.320
angles (deg): 90.00 90.00 90.00
Space group P4/mmm (No. 123)
Asymmetric unit:
Zr (0.000, 0.000, 0.000) (multiplicity 1)
Sc (0.500, 0.500, 0.000) (multiplicity 1)
W (0.000, 0.500, 0.500) (multiplicity 2)

Calculated values
energy relative to the lowest polymorph listed for this composition = 302 meV per atom

The following is a GGA-PBE calculation of ZrSc2W after structural relaxation, from Alexandria.

a b c (Å): 3.529 5.042 9.538
angles (deg): 90.00 90.00 90.00
Space group Imm2 (No. 44)
Asymmetric unit:
Zr (0.000, 0.000, 0.000) (multiplicity 2)
Sc (0.000, 0.000, 0.441) (multiplicity 2)
Sc (0.000, 0.500, 0.221) (multiplicity 2)
W (0.000, 0.500, 0.710) (multiplicity 2)

Calculated values
energy relative to the lowest polymorph listed for this composition = 42 meV per atom

The following is a GGA-PBE calculation of ZrScW2 after structural relaxation, from Alexandria.

a b c (Å): 2.786 4.697 5.719
angles (deg): 90.00 90.00 90.00
Space group Pmm2 (No. 25)
Asymmetric unit:
Zr (0.000, 0.000, 0.000) (multiplicity 1)
Sc (0.500, 0.500, 0.255) (multiplicity 1)
W (0.000, 0.000, 0.512) (multiplicity 1)
W (0.500, 0.500, 0.733) (multiplicity 1)

Calculated values
energy relative to the lowest polymorph listed for this composition = 261 meV per atom

The following is a GGA-PBE calculation of ZrSc2W after structural relaxation, from Alexandria.

a b c (Å): 3.470 3.470 7.177
angles (deg): 90.00 90.00 90.00
Space group P4mm (No. 99)
Asymmetric unit:
Zr (0.000, 0.000, 0.000) (multiplicity 1)
Sc (0.000, 0.000, 0.579) (multiplicity 1)
Sc (0.500, 0.500, 0.268) (multiplicity 1)
W (0.500, 0.500, 0.805) (multiplicity 1)

Calculated values
energy relative to the lowest polymorph listed for this composition = 0 meV per atom

The following is a GGA-PBE calculation of ZrScW2 after structural relaxation, from Alexandria.

a b c (Å): 2.922 4.519 5.813
angles (deg): 90.00 101.58 90.00
Space group Pm (No. 6)
Asymmetric unit:
Zr (0.000, 0.000, 0.000) (multiplicity 1)
Sc (0.707, 0.500, 0.275) (multiplicity 1)
W (0.263, 0.500, 0.737) (multiplicity 1)
W (0.453, 0.000, 0.529) (multiplicity 1)

Calculated values
energy relative to the lowest polymorph listed for this composition = 75 meV per atom